(1)
5
Lattice="-3.320 1.596 1.282 -1.558 -5.092 2.305 2.617 1.450 4.972" Properties=species:S:1:pos:R:3 comment="TlBi2WN meta-GGA SCAN single point on PBEsol structure" rho_g_cm3=10.4 magnetic_moment_mub_per_fu=4.65 sg="P4/mmm, No. 123" dft_energy_ev_per_cell=-297.3 e_form_raw_mev_per_atom=2230 pbc="T T T"
Tl 0.000 0.000 0.000
Bi 1.308 0.725 2.486
Bi -0.779 -2.546 1.153
W -1.131 -1.022 4.279
N -1.660 0.798 0.641

---

(2)
4
Lattice="-2.946 1.420 -0.472 -1.163 -3.016 -1.818 -1.947 -2.335 5.118" Properties=species:S:1:pos:R:3 comment="MgIn2Ru meta-GGA SCAN single point on PBEsol structure" rho_g_cm3=8.1 magnetic_moment_mub_per_fu=0.47 sg="Pmmm, No. 47" dft_energy_ev_per_cell=-106.8 pbc="T T T"
In -1.429 -1.714 3.758
In -0.518 -0.621 1.361
Mg -2.054 -0.798 -1.145
Ru -3.028 -1.965 1.414

---

(3)
80
Lattice="-4.149 -4.760 8.781 8.934 -5.265 -3.073 2.481 10.273 2.300" Properties=species:S:1:pos:R:3 comment="Ca3Sc2Ge3O12 meta-GGA SCAN single point on PBEsol structure" rho_g_cm3=4.2 magnetic_moment_mub_per_fu=0.00 sg="Ia-3d, No. 230" dft_energy_ev_per_cell=-993.6 e_form_raw_mev_per_atom=-2944 pbc="T T T"
Ca 7.085 0.123 4.524
Ca 5.477 -0.628 1.137
Ca 5.016 -6.892 4.184
Ca -1.087 -4.197 7.203
Ca 5.038 -3.071 4.046
Ca 2.574 -4.887 6.338
Ca 0.181 0.125 3.484
Ca 1.789 0.876 6.871
Ca 2.250 7.141 3.824
Ca 8.352 4.445 0.805
Ca 2.228 3.319 3.962
Ca 4.692 5.135 1.670
Sc 0.000 0.000 0.000
Sc 3.633 0.124 4.004
Sc 1.240 5.136 1.150
Sc 4.467 -2.632 -1.537
Sc 2.393 -5.012 2.854
Sc 5.707 2.504 -0.387
Sc -0.834 2.757 5.541
Sc -2.074 -2.380 4.391
Ge 5.888 2.629 3.097
Ge 8.330 0.624 0.944
Ge 4.643 2.128 6.678
Ge 2.645 1.941 1.192
Ge 5.455 -4.449 1.275
Ge 1.377 -2.381 4.911
Ge 4.621 -1.693 6.816
Ge 2.623 -1.880 1.330
Ge 1.811 4.698 6.732
Ge -1.065 -0.376 7.064
Ge 7.919 -2.633 -1.016
Ge -0.653 2.882 9.024
O 1.939 -0.701 4.913
O 2.650 3.662 1.613
O 3.705 1.662 8.106
O -0.052 -2.243 3.873
O -0.129 2.514 3.586
O 6.672 -5.634 0.772
O 4.685 3.794 3.674
O 8.951 2.139 1.621
O 6.224 3.282 1.485
O 9.959 3.506 -0.728
O 1.044 -1.086 1.451
O 4.613 6.691 3.650
O 1.133 3.185 6.106
O -0.395 0.736 5.858
O 3.128 -1.132 7.589
O 0.336 -0.579 8.130
O 2.791 5.210 5.348
O 0.955 2.154 8.875
O 2.755 6.551 1.427
O 1.042 -3.034 6.523
O 2.338 1.220 2.781
O 0.846 5.282 3.199
O 3.510 1.687 5.389
O 7.900 -4.335 -1.511
O 5.327 0.949 3.095
O 4.616 -3.414 6.395
O 3.561 -1.413 -0.099
O 7.318 2.491 4.134
O 7.394 -2.266 4.421
O 0.594 5.882 7.236
O 2.581 -3.546 4.334
O -1.685 -1.890 6.387
O -0.635 4.583 9.519
O 3.756 -1.438 2.619
O 6.419 -5.034 4.809
O 0.245 -5.760 5.938
O 4.928 -0.972 5.227
O 4.510 -6.303 6.580
O 6.310 -1.905 -0.868
O 4.475 -4.962 2.659
O 6.930 0.828 -0.122
O 4.137 1.381 0.419
O 7.661 -0.488 2.149
O 6.132 -2.937 1.901
O 2.653 -6.442 4.358
O 6.222 1.335 6.557
O -2.693 -3.258 8.736
O 7.021 6.008 2.069

---

Which formula does entry 3 have? Ca3Sc2Ge3O12